Material: PbCN2O
Method: DFT, GGA-PBE
State: optimized geometry

Its total energy is -5.35 eV per atom.

Cell: 3.236 3.236 5.230 Å, 90.00 90.00 90.00°
Fractional positions:
N (0.500, 0.000, 0.000)
O (0.000, 0.000, 0.500)
C (0.000, 0.000, 0.000)
Pb (0.500, 0.500, 0.500)
N (0.000, 0.500, 0.000)


Material: PbCNO2
Method: DFT, GGA-PBE
State: optimized geometry

Its total energy is -4.11 eV per atom.

Cell: 4.313 4.313 4.504 Å, 90.00 90.00 90.00°
Site moments in Bohr magnetons follow the coordinates.
Fractional positions:
Pb (0.000, 0.000, 0.000)  -0.04
O (0.500, 0.000, 0.000)  0.35
C (0.500, 0.500, 0.500)  -0.73
O (0.000, 0.500, 0.000)  0.35
N (0.000, 0.000, 0.500)  1.13


Material: PbCN2O
Method: DFT, GGA-PBE
State: optimized geometry

Its total energy is -4.05 eV per atom.

Cell: 4.537 4.537 4.404 Å, 90.00 90.00 90.00°
Site moments in Bohr magnetons follow the coordinates.
Fractional positions:
O (0.000, 0.000, 0.500)  0.41
C (0.500, 0.500, 0.500)  -0.82
N (0.500, 0.000, 0.000)  1.14
N (0.000, 0.500, 0.000)  1.14
Pb (0.000, 0.000, 0.000)  -0.04


Material: PbCNO2
Method: DFT, GGA-PBE
State: optimized geometry

Its total energy is -5.46 eV per atom.

Cell: 4.643 4.643 2.602 Å, 90.00 90.00 90.00°
Site moments in Bohr magnetons follow the coordinates.
Fractional positions:
Pb (0.500, 0.500, 0.500)  0.00
C (0.000, 0.000, 0.000)  -0.03
O (0.000, 0.500, 0.000)  0.46
N (0.000, 0.000, 0.500)  0.01
O (0.500, 0.000, 0.000)  0.46


Material: Pm6C2N3O
Method: DFT, GGA-PBE
State: optimized geometry

Its total energy is -7.58 eV per atom.

Cell: 3.624 7.306 8.176 Å, 102.93 102.81 90.00°
Fractional positions:
N (0.165, 0.835, 0.329)
C (0.837, 0.672, 0.673)
Pm (0.000, 0.256, 0.999)
Pm (0.334, 0.412, 0.668)
N (0.835, 0.165, 0.671)
O (0.500, 0.000, 0.000)
C (0.163, 0.328, 0.327)
Pm (0.333, 0.921, 0.667)
Pm (0.666, 0.588, 0.332)
Pm (0.667, 0.079, 0.333)
Pm (0.000, 0.744, 0.001)
N (0.500, 0.500, 0.000)


Material: Pm6C2NO3
Method: DFT, GGA-PBE
State: optimized geometry

Its total energy is -7.62 eV per atom.

Cell: 3.636 7.244 8.104 Å, 102.72 102.96 90.00°
Fractional positions:
N (0.500, 0.000, 0.000)
Pm (0.667, 0.581, 0.335)
Pm (0.002, 0.246, 0.004)
Pm (0.665, 0.086, 0.331)
C (0.164, 0.330, 0.328)
Pm (0.335, 0.914, 0.669)
O (0.500, 0.500, 0.000)
O (0.833, 0.165, 0.666)
Pm (0.998, 0.754, 0.996)
C (0.836, 0.670, 0.672)
Pm (0.333, 0.419, 0.665)
O (0.167, 0.835, 0.334)


no.,formation energy from raw total energies (kJ/mol of atoms)
1,150.58
2,205.38
3,275.55
4,74.28
5,-113.17
6,-171.03